Computed, not measured: a relaxed structure of NiIr2Br at the PBE-GGA level of DFT.

DOS at the Fermi energy ... 6.19 states/eV per cell
E_form (uncorrected) ... 3.40 eV per formula unit
Electronic total energy ... -21.78 eV per cell
Distance to the lowest polymorph of the same formula ... 0.3810 eV per atom

a = 2.780 Å, b = 4.621 Å, c = 4.758 Å
α = 90.00°, β = 90.00°, γ = 90.00°
Space group Pmmm (No. 47)
Symmetry-distinct sites (fractional):
Ni  0.000  0.000  0.000 (multiplicity 1)
Ir  0.000  0.500  0.500 (multiplicity 1)
Ir  0.500  0.500  0.000 (multiplicity 1)
Br  0.500  0.000  0.500 (multiplicity 1)